An optimized crystal structure of RbCdCuHg2, computed with PBE.

Unit cell a=5.2984 b=5.2984 c=5.2438 alpha=90.00 beta=90.00 gamma=90.00
Fractional positions:
Rb 0.0000 0.0000 0.0000
Cd 0.5000 0.5000 0.0000
Cu 0.5000 0.5000 0.5000
Hg 0.0000 0.5000 0.5000
Hg 0.5000 0.0000 0.5000

symmetry: P4/mmm (123)
magnetic moment: 0.000 Bohr magnetons per cell
energy relative to the elements: -40 meV/atom

---

An optimized crystal structure of CdCu2HgS, computed with PBE.

Unit cell a=4.2586 b=4.2586 c=6.8323 alpha=90.00 beta=90.00 gamma=90.00
Fractional positions:
Cd 0.0000 0.0000 0.0000
Cu 0.0000 0.5000 0.5000
Cu 0.5000 0.0000 0.5000
Hg 0.5000 0.5000 0.0000
S 0.5000 0.5000 0.5000

symmetry: P4/mmm (123)
magnetic moment: 0.000 Bohr magnetons per cell
electronic total energy: -12.87 eV per cell

---

An optimized crystal structure of Sc4CdCuHg2, computed with PBE.

Unit cell a=8.4804 b=8.4804 c=8.4804 alpha=33.68 beta=33.68 gamma=33.68
Fractional positions:
Sc 0.1185 0.1185 0.1185
Sc 0.3698 0.3698 0.3698
Sc 0.6302 0.6302 0.6302
Sc 0.8815 0.8815 0.8815
Cd 0.5000 0.5000 0.5000
Cu 0.0000 0.0000 0.0000
Hg 0.2464 0.2464 0.2464
Hg 0.7536 0.7536 0.7536

symmetry: R-3m (166)
magnetic moment: 0.000 Bohr magnetons per cell
energy relative to the elements: -345 meV/atom

---

An optimized crystal structure of ScCdCuHg, computed with PBE.

Unit cell a=4.7595 b=4.7595 c=4.7595 alpha=60.00 beta=60.00 gamma=60.00
Fractional positions:
Sc 0.0000 0.0000 0.0000
Cd 0.5000 0.5000 0.5000
Cu 0.2500 0.2500 0.2500
Hg 0.7500 0.7500 0.7500

symmetry: F-43m (216)
magnetic moment: 0.000 Bohr magnetons per cell
energy relative to the elements: -208 meV/atom